This record from Alexandria describes an optimized crystal structure of TeSe. The functional is PBE.

The uncorrected formation energy comes out at 0.105 eV per atom. Its crystal system is monoclinic. The energy is -12.83 eV per cell. As for the density of states at the Fermi level: 1.1 states/eV per cell.

The space group is P2_1/m (No. 11) and the conventional cell measures 4.7906, 3.9300 and 7.2778 Å, with angles of 90.00, 102.90 and 90.00 degrees. The asymmetric unit holds Te at (0.2319, 0.2500, 0.1149) and Se at (0.3112, 0.7500, 0.3768).



This record from Alexandria describes an optimized crystal structure of RbAcTcN3. The functional is PBE.

The uncorrected formation energy comes out at -0.323 eV per atom. Its crystal system is monoclinic. The energy is -169.42 eV per cell. As for the density of states at the Fermi level: 10.4 states/eV per cell.

The space group is C2/m (No. 12) and the conventional cell measures 14.4954, 4.0447 and 8.1906 Å, with angles of 90.00, 105.65 and 90.00 degrees. The asymmetric unit holds Rb at (0.1298, 0.0000, 0.0681), Ac at (0.1612, 0.0000, 0.5986), Tc at (0.0084, 0.5000, 0.3380), N at (0.0115, 0.0000, 0.3377), N at (0.1210, 0.5000, 0.7852) and N at (0.1484, 0.5000, 0.3738).



This record from Alexandria describes an optimized crystal structure of Ba2Li2USe6. The functional is PBE.

The uncorrected formation energy comes out at -1.381 eV per atom. Its crystal system is monoclinic. The energy is -110.13 eV per cell. As for the density of states at the Fermi level: 6.0 states/eV per cell.

The space group is C2/m (No. 12) and the conventional cell measures 14.1977, 7.1053 and 7.1988 Å, with angles of 90.00, 120.24 and 90.00 degrees. The asymmetric unit holds Ba at (0.2481, 0.0000, 0.2012), Li at (0.0894, 0.5000, 0.1620), U at (0.0000, 0.0000, 0.5000), Se at (0.0482, 0.2616, 0.8083) and Se at (0.2146, 0.0000, 0.6205).



This record from Alexandria describes an optimized crystal structure of NaVW2. The functional is PBE.

Its formation energy is 0.4751 eV/atom. Its crystal system is monoclinic. The energy is -68.89 eV per cell. As for the density of states at the Fermi level: 8.2 states/eV per cell. Its energy above the most stable polymorph in this dataset is 210 meV/atom.

The space group is Cm (No. 8) and the conventional cell measures 4.4719, 3.1298 and 10.0421 Å, with angles of 90.00, 90.71 and 90.00 degrees. The asymmetric unit holds Na at (0.0000, 0.0000, 0.0000), V at (0.4812, 0.0000, 0.2844), W at (0.4868, 0.5000, 0.4927) and W at (0.4930, 0.0000, 0.7153).



This record from Alexandria describes an optimized crystal structure of HfZr5Sc. The functional is PBE.

Its formation energy is 0.1018 eV/atom. Its crystal system is monoclinic. The energy is -233.25 eV per cell. As for the density of states at the Fermi level: 33.7 states/eV per cell.

The space group is C2/c (No. 15) and the conventional cell measures 7.7151, 8.8193 and 10.4668 Å, with angles of 90.00, 110.88 and 90.00 degrees. The asymmetric unit holds Hf at (0.0000, 0.2345, 0.2500), Zr at (0.0000, 0.4032, 0.7500), Zr at (0.1301, 0.0833, 0.6750), Zr at (0.1699, 0.3994, 0.5290) and Sc at (0.2500, 0.2500, 0.0000).



This record from Alexandria describes an optimized crystal structure of Er3Tl5Se12. The functional is PBE.

The uncorrected formation energy comes out at -0.682 eV per atom. Its crystal system is cubic. The energy is -647.72 eV per cell. As for the density of states at the Fermi level: 49.2 states/eV per cell.

The space group is Ia-3d (No. 230) and the conventional cell measures 16.7366, 16.7366 and 16.7366 Å, with angles of 90.00, 90.00 and 90.00 degrees. The asymmetric unit holds Er at (0.0000, 0.2500, 0.1250), Tl at (0.0000, 0.0000, 0.0000), Tl at (0.0000, 0.2500, 0.3750) and Se at (0.0154, 0.0725, 0.6576).